Material: CuHgTe2
Method: DFT, GGA-PBE
State: relaxed

Lattice parameters (Å, degrees): 6.176 8.293 4.788 90.00 121.20 90.00
Space group C2/m (No. 12)
Asymmetric unit:
Cu1 0.000 0.000 0.000
Hg1 0.000 0.500 0.000
Te1 0.250 0.250 0.500

Computed properties:
Total energy = -2.51 eV/atom
D(E_F) = 0.362 states/eV per atom

Material: CeHfPb
Method: DFT, GGA-PBE
State: relaxed

Lattice parameters (Å, degrees): 5.2520 5.2520 3.4005 90.00 90.00 120.00
Space group P3m1 (No. 156)
Asymmetric unit:
Ce1 0.0000 0.0000 0.0000
Hf1 0.6667 0.3333 0.5004
Pb1 0.3333 0.6667 0.4988

Computed properties:
ΔH_f (0 K) = 69 meV per atom
Total energy = -6.46 eV/atom
D(E_F) = 2.174 states/eV per atom
Polymorph energy (0 for the lowest one) = 0.196 eV/atom

Material: LiLa2Pa
Method: DFT, GGA-PBE
State: relaxed

Lattice parameters (Å, degrees): 7.726 7.726 7.726 90.00 90.00 90.00
Space group Fm-3m (No. 225)
Asymmetric unit:
Li1 0.000 0.000 0.000
La1 0.250 0.250 0.250
Pa1 0.000 0.000 0.500

Computed properties:
ΔH_f (0 K) = 448 meV per atom
Total energy = -4.87 eV/atom
D(E_F) = 2.043 states/eV per atom
Polymorph energy (0 for the lowest one) = 0.325 eV/atom

Material: CaFeTe2
Method: DFT, GGA-PBE
State: relaxed

Lattice parameters (Å, degrees): 3.647 3.647 7.451 90.00 90.00 90.00
Space group P4/mmm (No. 123)
Asymmetric unit:
Ca1 0.000 0.000 0.000
Fe1 0.000 0.000 0.500
Te1 0.500 0.500 0.276

Computed properties:
Total energy = -4.42 eV/atom
D(E_F) = 0.684 states/eV per atom

Material: Ga3NiPd
Method: DFT, GGA-PBE
State: relaxed

Lattice parameters (Å, degrees): 4.484 4.484 4.484 90.00 90.00 90.00
Space group Pm-3m (No. 221)
Asymmetric unit:
Ga1 0.000 0.000 0.500
Ni1 0.000 0.000 0.000
Pd1 0.500 0.500 0.500

Computed properties:
ΔH_f (0 K) = -20 meV per atom
Total energy = -4.03 eV/atom
D(E_F) = 0.367 states/eV per atom
Polymorph energy (0 for the lowest one) = 0.000 eV/atom

Material: LiAlP2
Method: DFT, GGA-PBE
State: relaxed

Lattice parameters (Å, degrees): 3.477 4.041 9.309 90.00 90.00 90.00
Space group Cmm2 (No. 35)
Asymmetric unit:
Li1 0.000 0.000 0.000
Al1 0.000 0.500 0.745
P1 0.000 0.000 0.548
P2 0.000 0.500 0.203

Computed properties:
ΔH_f (0 K) = 137 meV per atom
Total energy = -3.98 eV/atom
D(E_F) = 0.331 states/eV per atom

Material: AcYBi2
Method: DFT, GGA-PBE
State: relaxed

Lattice parameters (Å, degrees): 4.6574 4.6574 15.4260 90.00 90.00 120.00
Space group P6_3/mmc (No. 194)
Asymmetric unit:
Ac1 0.3333 0.6667 0.2500
Y1 0.0000 0.0000 0.0000
Bi1 0.3333 0.6667 0.6122

Computed properties:
ΔH_f (0 K) = -898 meV per atom
Total energy = -5.48 eV/atom
D(E_F) = 0.159 states/eV per atom
Polymorph energy (0 for the lowest one) = 0.038 eV/atom

Material: Mg2AlOs2
Method: DFT, GGA-PBE
State: relaxed

Lattice parameters (Å, degrees): 3.514 3.514 13.532 90.00 90.00 90.00
Space group I4/mmm (No. 139)
Asymmetric unit:
Mg1 0.000 0.500 0.250
Al1 0.000 0.000 0.000
Os1 0.000 0.000 0.406

Computed properties:
ΔH_f (0 K) = 690 meV per atom
Total energy = -5.19 eV/atom
D(E_F) = 1.207 states/eV per atom
Polymorph energy (0 for the lowest one) = 0.651 eV/atom